# 1
Below is a geometry-optimized La2AgSn3 structure, with properties calculated at the PBE-GGA level.

Output
electronic total energy	-4.699	eV per atom
crystal system	orthorhombic
calculated formation energy	-0.5794	eV/atom
offset from the most stable computed form	0.20	eV per formula unit
calculated density	7.151	Mg/m³
D(E_F)	0.72	states/eV/atom

a = 4.3425 Å, b = 4.8727 Å, c = 8.1413 Å
α = 90.00°, β = 90.00°, γ = 90.00°
With the nearest neighbours (Å) after each atom.
Fractional positions:
La  0.0000  0.0000  0.0000  8 Sn 3.41-3.48, 4 Ag 3.59
La  0.0000  0.5000  0.4865  2 Ag 3.46, 10 Sn 3.50-3.61
Ag  0.5000  0.5000  0.8169  3 Sn 2.69-2.70
Sn  0.5000  0.0000  0.3298  3 Sn 2.82-2.85
Sn  0.5000  0.0000  0.6763  2 Ag 2.69, 1 Sn 2.82
Sn  0.5000  0.5000  0.1479  1 Ag 2.70, 2 Sn 2.85

# 2
Below is a geometry-optimized LaAg3Sn structure, with properties calculated at the PBE-GGA level.

Output
electronic total energy	-3.750	eV per atom
crystal system	triclinic
calculated formation energy	-0.2527	eV/atom
offset from the most stable computed form	0.00	eV per formula unit
calculated density	7.927	Mg/m³
D(E_F)	0.76	states/eV/atom

a = 4.6186 Å, b = 4.6198 Å, c = 6.5685 Å
α = 110.42°, β = 110.51°, γ = 90.18°
With the nearest neighbours (Å) after each atom.
Fractional positions:
La  0.0000  0.0000  0.0000  4 Sn 3.49-3.51, 12 Ag 3.55-3.74
Ag  0.2409  0.7436  0.4861  2 Sn 2.77, 2 Ag 2.77
Ag  0.3789  0.3770  0.7545  1 Sn 2.65, 4 Ag 2.77
Ag  0.7445  0.2425  0.4860  2 Sn 2.77, 2 Ag 2.77
Sn  0.6074  0.6097  0.2191  5 Ag 2.65-2.77

# 3
Below is a geometry-optimized LaAgSn3 structure, with properties calculated at the PBE-GGA level.

Output
electronic total energy	-3.118	eV per atom
crystal system	cubic
calculated formation energy	0.8397	eV/atom
offset from the most stable computed form	6.00	eV per formula unit
calculated density	4.561	Mg/m³
D(E_F)	1.25	states/eV/atom

a = 6.0324 Å, b = 6.0324 Å, c = 6.0324 Å
α = 90.00°, β = 90.00°, γ = 90.00°
With the nearest neighbours (Å) after each atom.
Fractional positions:
La  0.0000  0.0000  0.0000  6 Sn 3.02
Ag  0.5000  0.5000  0.5000  12 Sn 4.27
Sn  0.0000  0.0000  0.5000  2 La 3.02
Sn  0.0000  0.5000  0.0000  2 La 3.02
Sn  0.5000  0.0000  0.0000  2 La 3.02

# 4
Below is a geometry-optimized LaAg3Sn structure, with properties calculated at the PBE-GGA level.

Output
electronic total energy	-2.594	eV per atom
crystal system	cubic
calculated formation energy	0.9026	eV/atom
offset from the most stable computed form	5.78	eV per formula unit
calculated density	5.535	Mg/m³
D(E_F)	1.24	states/eV/atom

a = 5.5867 Å, b = 5.5867 Å, c = 5.5867 Å
α = 90.00°, β = 90.00°, γ = 90.00°
With the nearest neighbours (Å) after each atom.
Fractional positions:
La  0.0000  0.0000  0.0000  6 Ag 2.79
Ag  0.0000  0.0000  0.5000  2 La 2.79
Ag  0.0000  0.5000  0.0000  2 La 2.79
Ag  0.5000  0.0000  0.0000  2 La 2.79
Sn  0.5000  0.5000  0.5000  12 Ag 3.95

# 5
Below is a geometry-optimized LaAgSn3 structure, with properties calculated at the PBE-GGA level.

Output
electronic total energy	-3.937	eV per atom
crystal system	cubic
calculated formation energy	0.0209	eV/atom
offset from the most stable computed form	1.91	eV per formula unit
calculated density	6.533	Mg/m³
D(E_F)	1.08	states/eV/atom

a = 5.3514 Å, b = 5.3514 Å, c = 5.3514 Å
α = 90.00°, β = 90.00°, γ = 90.00°
With the nearest neighbours (Å) after each atom.
Fractional positions:
La  0.0000  0.0000  0.0000  12 Sn 3.78
Ag  0.5000  0.5000  0.5000  6 Sn 2.68
Sn  0.0000  0.5000  0.5000  2 Ag 2.68
Sn  0.5000  0.0000  0.5000  2 Ag 2.68
Sn  0.5000  0.5000  0.0000  2 Ag 2.68

# 6
Below is a geometry-optimized La3AgSn2 structure, with properties calculated at the PBE-GGA level.

Output
electronic total energy	-4.920	eV per atom
crystal system	orthorhombic
calculated formation energy	-0.6465	eV/atom
calculated density	6.734	Mg/m³
D(E_F)	0.84	states/eV/atom

a = 12.9068 Å, b = 4.7478 Å, c = 12.2654 Å
α = 90.00°, β = 90.00°, γ = 90.00°
With the nearest neighbours (Å) after each atom.
Fractional positions:
La  0.0472  0.2500  0.1270  1 Ag 3.24, 5 Sn 3.32-3.44
La  0.1320  0.7500  0.5656  3 Ag 3.31-3.39, 5 Sn 3.33-3.42
La  0.2177  0.2500  0.8046  2 Ag 3.25, 4 Sn 3.31-3.51
La  0.2823  0.7500  0.3046  2 Ag 3.25, 4 Sn 3.31-3.51
La  0.3680  0.2500  0.0656  3 Ag 3.31-3.39, 5 Sn 3.33-3.42
La  0.4528  0.7500  0.6270  1 Ag 3.24, 5 Sn 3.32-3.44
La  0.5472  0.2500  0.3730  1 Ag 3.24, 5 Sn 3.32-3.44
La  0.6320  0.7500  0.9344  3 Ag 3.31-3.39, 5 Sn 3.33-3.42
La  0.7177  0.2500  0.6954  2 Ag 3.25, 4 Sn 3.31-3.51
La  0.7823  0.7500  0.1954  2 Ag 3.25, 4 Sn 3.31-3.51
La  0.8680  0.2500  0.4344  3 Ag 3.31-3.39, 5 Sn 3.33-3.42
La  0.9528  0.7500  0.8730  1 Ag 3.24, 5 Sn 3.32-3.44
Ag  0.1252  0.2500  0.3781  3 Sn 2.89-2.91
Ag  0.3748  0.7500  0.8781  3 Sn 2.89-2.91
Ag  0.6252  0.2500  0.1219  3 Sn 2.89-2.91
Ag  0.8748  0.7500  0.6219  3 Sn 2.89-2.91
Sn  0.0110  0.7500  0.3172  2 Ag 2.89
Sn  0.1865  0.7500  0.0080  1 Ag 2.91
Sn  0.3135  0.2500  0.5080  1 Ag 2.91
Sn  0.4890  0.2500  0.8172  2 Ag 2.89
Sn  0.5110  0.7500  0.1828  2 Ag 2.89
Sn  0.6865  0.7500  0.4920  1 Ag 2.91
Sn  0.8135  0.2500  0.9920  1 Ag 2.91
Sn  0.9890  0.2500  0.6828  2 Ag 2.89

# 7
Below is a geometry-optimized La2Ag2Sn structure, with properties calculated at the PBE-GGA level.

Output
electronic total energy	-4.126	eV per atom
crystal system	tetragonal
calculated formation energy	-0.2135	eV/atom
offset from the most stable computed form	1.20	eV per formula unit
calculated density	6.918	Mg/m³
D(E_F)	0.61	states/eV/atom

a = 8.8392 Å, b = 8.8392 Å, c = 3.7619 Å
α = 90.00°, β = 90.00°, γ = 90.00°
With the nearest neighbours (Å) after each atom.
Fractional positions:
La  0.1753  0.3247  0.0000  6 Ag 3.20-3.24, 2 Sn 3.26
La  0.3247  0.8247  0.0000  6 Ag 3.20-3.24, 2 Sn 3.26
La  0.6753  0.1753  0.0000  6 Ag 3.20-3.24, 2 Sn 3.26
La  0.8247  0.6753  0.0000  6 Ag 3.20-3.24, 2 Sn 3.26
Ag  0.1177  0.6177  0.5000  1 Ag 2.94, 6 La 3.20-3.24
Ag  0.3823  0.1177  0.5000  1 Ag 2.94, 6 La 3.20-3.24
Ag  0.6177  0.8823  0.5000  1 Ag 2.94, 6 La 3.20-3.24
Ag  0.8823  0.3823  0.5000  1 Ag 2.94, 6 La 3.20-3.24
Sn  0.0000  0.0000  0.0000  4 La 3.26
Sn  0.5000  0.5000  0.0000  4 La 3.26

# 8
Below is a geometry-optimized La5AgSn2 structure, with properties calculated at the PBE-GGA level.

Output
electronic total energy	-4.895	eV per atom
crystal system	orthorhombic
calculated formation energy	-0.4581	eV/atom
calculated density	7.077	Mg/m³
D(E_F)	1.15	states/eV/atom

a = 7.2730 Å, b = 6.9048 Å, c = 6.9112 Å
α = 63.53°, β = 58.19°, γ = 58.28°
With the nearest neighbours (Å) after each atom.
Fractional positions:
La  0.9997  0.9997  0.0003  8 La 3.45-3.46, 4 Sn 3.63-3.64
La  0.0000  0.0000  0.5000  4 Sn 3.45, 6 La 3.46-3.64, 2 Ag 3.46
La  0.0001  0.5000  0.9999  2 Ag 3.45-3.46, 6 La 3.45-3.64, 4 Sn 3.45-3.46
La  0.5000  0.0001  0.5000  2 Ag 3.45-3.46, 6 La 3.45-3.64, 4 Sn 3.45-3.46
La  0.5000  0.5000  0.0000  4 Sn 3.45, 6 La 3.46-3.64, 2 Ag 3.46
Ag  0.5005  0.5005  0.4995  8 La 3.45-3.46, 4 Sn 3.63-3.64
Sn  0.9998  0.5001  0.4999  10 La 3.45-3.64, 2 Ag 3.63-3.64
Sn  0.5001  0.9998  0.0002  10 La 3.45-3.64, 2 Ag 3.63-3.64

# 9
Below is a geometry-optimized La6Ag5Sn structure, with properties calculated at the PBE-GGA level.

Output
electronic total energy	-4.330	eV per atom
crystal system	orthorhombic
calculated formation energy	-0.3451	eV/atom
calculated density	7.233	Mg/m³
D(E_F)	1.13	states/eV/atom

a = 9.4159 Å, b = 9.4159 Å, c = 9.4159 Å
α = 146.57°, β = 131.28°, γ = 60.38°
With the nearest neighbours (Å) after each atom.
Fractional positions:
La  0.0799  0.3319  0.7481  7 Ag 3.32-3.35, 1 Sn 3.36
La  0.2453  0.0000  0.2453  6 Ag 3.31-3.34, 2 Sn 3.35
La  0.4162  0.6681  0.7481  7 Ag 3.32-3.35, 1 Sn 3.36
La  0.5838  0.3319  0.2519  7 Ag 3.32-3.35, 1 Sn 3.36
La  0.7547  0.0000  0.7547  6 Ag 3.31-3.34, 2 Sn 3.35
La  0.9201  0.6681  0.2519  7 Ag 3.32-3.35, 1 Sn 3.36
Ag  0.0000  0.5000  0.5000  8 La 3.31-3.35
Ag  0.1672  0.1672  0.0000  8 La 3.32
Ag  0.3345  0.8345  0.5000  8 La 3.32-3.34
Ag  0.6655  0.1655  0.5000  8 La 3.32-3.34
Ag  0.8328  0.8328  0.0000  8 La 3.32
Sn  0.5000  0.5000  0.0000  8 La 3.35-3.36

# 10
Below is a geometry-optimized La3AgSn structure, with properties calculated at the PBE-GGA level.

Output
electronic total energy	-4.734	eV per atom
crystal system	triclinic
calculated formation energy	-0.4068	eV/atom
offset from the most stable computed form	0.00	eV per formula unit
calculated density	6.924	Mg/m³
D(E_F)	1.24	states/eV/atom

a = 5.1226 Å, b = 7.0752 Å, c = 8.8994 Å
α = 92.63°, β = 106.71°, γ = 90.05°
With the nearest neighbours (Å) after each atom.
Fractional positions:
La  0.0170  0.2718  0.0342  3 La 3.31-3.62, 4 Sn 3.35-3.56, 1 Ag 3.55
La  0.2106  0.6481  0.4226  3 Ag 3.29-3.31, 3 Sn 3.32-3.55, 2 La 3.59-3.61
La  0.3896  0.9988  0.7779  3 Ag 3.16-3.17, 1 Sn 3.39
La  0.6104  0.0012  0.2221  3 Ag 3.16-3.17, 1 Sn 3.39
La  0.7894  0.3519  0.5774  3 Ag 3.29-3.31, 3 Sn 3.32-3.55, 2 La 3.59-3.61
La  0.9830  0.7282  0.9658  3 La 3.31-3.62, 4 Sn 3.35-3.56, 1 Ag 3.55
Ag  0.2112  0.1128  0.4230  6 La 3.16-3.31, 2 Ag 3.32-3.33
Ag  0.7888  0.8872  0.5770  6 La 3.16-3.31, 2 Ag 3.32-3.33
Sn  0.4042  0.4787  0.8081  1 Sn 3.27, 8 La 3.32-3.56
Sn  0.5958  0.5213  0.1919  1 Sn 3.27, 8 La 3.32-3.56

# 11
Below is a geometry-optimized La2Ag2Sn structure, with properties calculated at the PBE-GGA level.

Output
electronic total energy	-4.123	eV per atom
crystal system	tetragonal
calculated formation energy	-0.2111	eV/atom
offset from the most stable computed form	1.21	eV per formula unit
calculated density	6.662	Mg/m³
D(E_F)	1.17	states/eV/atom

a = 5.9778 Å, b = 5.9778 Å, c = 5.9778 Å
α = 119.29°, β = 119.29°, γ = 91.23°
With the nearest neighbours (Å) after each atom.
Fractional positions:
La  0.2500  0.7500  0.5000  4 Ag 3.12
La  0.7500  0.2500  0.5000  4 Ag 3.12
Ag  0.1546  0.1546  0.0000  1 Ag 2.59, 1 Sn 2.89
Ag  0.8454  0.8454  0.0000  1 Ag 2.59, 1 Sn 2.89
Sn  0.5000  0.5000  0.0000  2 Ag 2.89

# 12
Below is a geometry-optimized La2Ag2Sn structure, with properties calculated at the PBE-GGA level.

Output
electronic total energy	-4.366	eV per atom
crystal system	tetragonal
calculated formation energy	-0.4536	eV/atom
offset from the most stable computed form	0.00	eV per formula unit
calculated density	7.331	Mg/m³
D(E_F)	0.67	states/eV/atom

a = 8.0815 Å, b = 8.0815 Å, c = 4.2467 Å
α = 90.00°, β = 90.00°, γ = 90.00°
With the nearest neighbours (Å) after each atom.
Fractional positions:
La  0.1777  0.3223  0.0000  6 Ag 3.11-3.26
La  0.3223  0.8223  0.0000  6 Ag 3.11-3.26
La  0.6777  0.1777  0.0000  6 Ag 3.11-3.26
La  0.8223  0.6777  0.0000  6 Ag 3.11-3.26
Ag  0.1233  0.6233  0.5000  1 Ag 2.82, 2 La 3.11
Ag  0.3767  0.1233  0.5000  1 Ag 2.82, 2 La 3.11
Ag  0.6233  0.8767  0.5000  1 Ag 2.82, 2 La 3.11
Ag  0.8767  0.3767  0.5000  1 Ag 2.82, 2 La 3.11
Sn  0.0000  0.0000  0.5000  4 Ag 3.20
Sn  0.5000  0.5000  0.5000  4 Ag 3.20